[1]
Here is a relaxed InPRu crystal from Alexandria via LeMat-Bulk. Energies are from PBE.

Cell and atoms, written as extended XYZ:
```
9
Lattice="3.6304 0.0000 0.0000 -1.8152 3.1440 0.0000 0.0000 0.0000 14.7059" Properties=species:S:1:pos:R:3 pbc="T T T"
In 0.0000 0.0000 8.2230
In 0.0000 2.0960 3.3211
In 1.8152 1.0480 13.1250
P 0.0000 0.0000 5.3387
P 0.0000 2.0960 0.4367
P 1.8152 1.0480 10.2406
Ru 0.0000 0.0000 11.1273
Ru 0.0000 2.0960 6.2253
Ru 1.8152 1.0480 1.3234
```

## Properties
Energy relative to the elements   -0.1530 eV per atom



[2]
Here is a relaxed In4PRu crystal from Alexandria via LeMat-Bulk. Energies are from PBE.

Cell and atoms, written as extended XYZ:
```
6
Lattice="-0.1816 -5.5119 1.7630 -5.0747 -2.7677 0.3313 -1.2549 -4.2069 -3.7748" Properties=species:S:1:pos:R:3 pbc="T T T"
In -2.5315 -7.4401 0.2528
In -3.0689 -6.7867 -2.5199
In -4.9813 -6.0661 -0.4640
In -2.4406 -4.6804 -0.6299
P -4.8834 -9.3650 -1.2604
Ru 0.0000 0.0000 0.0000
```

## Properties
Energy relative to the elements   0.8484 eV per atom



[3]
Here is a relaxed InP2Ru crystal from Alexandria via LeMat-Bulk. Energies are from PBE.

Cell and atoms, written as extended XYZ:
```
4
Lattice="-2.5615 -1.0959 0.9304 1.7704 -2.4683 1.9665 0.0951 4.4964 5.5582" Properties=species:S:1:pos:R:3 pbc="T T T"
In -0.3209 1.7443 5.8076
P 0.0950 4.4915 5.5522
P -0.3570 0.0398 3.7007
Ru 0.0296 1.4011 1.7320
```

## Properties
Energy relative to the elements   0.0479 eV per atom



[4]
Here is a relaxed InPRu2 crystal from Alexandria via LeMat-Bulk. Energies are from PBE.

Cell and atoms, written as extended XYZ:
```
4
Lattice="4.1187 2.6835 5.3805 2.2090 6.0251 3.4545 -4.8011 -4.5652 -3.0370" Properties=species:S:1:pos:R:3 pbc="T T T"
In 2.8243 3.8870 3.9433
P 0.9319 0.8114 2.9493
Ru 0.5047 0.6946 0.7047
Ru 0.4295 3.1049 2.6181
```

## Properties
Energy relative to the elements   -0.2455 eV per atom



[5]
Here is a relaxed InPRu2 crystal from Alexandria via LeMat-Bulk. Energies are from PBE.

Cell and atoms, written as extended XYZ:
```
4
Lattice="-1.7369 2.4627 3.7538 1.7369 -2.4627 3.7538 1.7369 2.4627 -3.7538" Properties=species:S:1:pos:R:3 pbc="T T T"
In 1.7369 0.0000 0.0000
P 0.0000 2.4627 0.0000
Ru 0.0000 0.0000 5.2135
Ru 0.0000 0.0000 2.2941
```

## Properties
Energy relative to the elements   -0.0116 eV per atom



[6]
Here is a relaxed InPRu2 crystal from Alexandria via LeMat-Bulk. Energies are from PBE.

Cell and atoms, written as extended XYZ:
```
4
Lattice="3.6252 0.0000 0.0000 0.0000 3.0871 0.0012 0.0000 1.3959 5.6253" Properties=species:S:1:pos:R:3 pbc="T T T"
In 1.8126 1.5436 0.0006
P 1.8126 0.6980 2.8126
Ru 0.0000 1.3782 4.0226
Ru 0.0000 3.1049 1.6038
```

## Properties
Energy relative to the elements   -0.0766 eV per atom



[7]
Here is a relaxed InPRu2 crystal from Alexandria via LeMat-Bulk. Energies are from PBE.

Cell and atoms, written as extended XYZ:
```
4
Lattice="-3.1576 1.0066 -2.8331 -0.1179 -4.1467 -1.3419 -2.1587 -0.6432 2.1773" Properties=species:S:1:pos:R:3 pbc="T T T"
In -2.7171 -1.8917 -0.9988
P -1.0793 -0.3216 1.0887
Ru -1.5788 0.5033 -1.4166
Ru -0.0589 -2.0734 -0.6709
```

## Properties
Energy relative to the elements   0.0855 eV per atom



[8]
Here is a relaxed In2PRu crystal from Alexandria via LeMat-Bulk. Energies are from PBE.

Cell and atoms, written as extended XYZ:
```
4
Lattice="7.9582 -1.6746 -0.0229 7.9582 1.6746 -0.0229 7.6141 0.0000 2.8571" Properties=species:S:1:pos:R:3 pbc="T T T"
In 17.6367 0.0000 2.1072
In 5.8937 0.0000 0.7042
P 11.7652 0.0000 1.4057
Ru 0.0000 0.0000 0.0000
```

## Properties
Energy relative to the elements   0.3443 eV per atom



[9]
Here is a relaxed InP2Ru crystal from Alexandria via LeMat-Bulk. Energies are from PBE.

Cell and atoms, written as extended XYZ:
```
4
Lattice="4.3786 0.0000 0.0000 0.0000 3.3559 -0.0001 0.0000 0.8591 4.8903" Properties=species:S:1:pos:R:3 pbc="T T T"
In 2.1893 3.1613 3.6676
P 0.0000 0.1917 0.4851
P 0.0000 1.9158 1.9599
Ru 2.1893 1.0538 1.2225
```

## Properties
Energy relative to the elements   0.0321 eV per atom



[10]
Here is a relaxed InP2Ru crystal from Alexandria via LeMat-Bulk. Energies are from PBE.

Cell and atoms, written as extended XYZ:
```
4
Lattice="-5.6400 1.3983 1.1034 -3.0888 -2.0464 4.6102 4.5375 3.0281 -2.2857" Properties=species:S:1:pos:R:3 pbc="T T T"
In -1.4579 0.3288 2.5907
P -8.1698 -0.6066 5.3477
P -4.9233 -0.3655 3.2226
Ru -2.7335 2.0512 0.8372
```

## Properties
Energy relative to the elements   0.1449 eV per atom



[11]
Here is a relaxed InPRu2 crystal from Alexandria via LeMat-Bulk. Energies are from PBE.

Cell and atoms, written as extended XYZ:
```
4
Lattice="-0.2950 2.1432 1.9463 -2.4955 0.8034 -1.2630 -3.8720 -4.7417 4.6343" Properties=species:S:1:pos:R:3 pbc="T T T"
In -1.8451 -2.2595 2.2084
P -4.5495 -2.3893 4.1168
Ru -3.8148 -4.6716 4.5658
Ru -2.2612 0.4129 1.3781
```

## Properties
Energy relative to the elements   0.0635 eV per atom



[12]
Here is a relaxed InP2Ru crystal from Alexandria via LeMat-Bulk. Energies are from PBE.

Cell and atoms, written as extended XYZ:
```
4
Lattice="4.9324 0.0088 0.0000 1.7049 4.6284 0.0000 -3.3186 -2.3186 2.8177" Properties=species:S:1:pos:R:3 pbc="T T T"
In 2.4662 0.0044 1.4088
P 0.0000 0.0000 0.0000
P 0.8524 2.3142 1.4088
Ru 3.3186 2.3186 0.0000
```

## Properties
Energy relative to the elements   0.4971 eV per atom



[13]
Here is a relaxed InPRu crystal from Alexandria via LeMat-Bulk. Energies are from PBE.

Cell and atoms, written as extended XYZ:
```
12
Lattice="5.0725 0.0000 0.0000 0.0000 6.6410 -0.9884 0.0000 -2.6892 7.4938" Properties=species:S:1:pos:R:3 pbc="T T T"
In 2.0256 4.0120 3.7515
In 3.0469 -0.0602 2.7539
In 0.5107 5.3566 0.0046
In 4.5619 -1.4048 6.5008
P 1.6637 2.1684 0.5522
P 3.4088 1.7834 5.9532
P 4.2000 3.1280 2.2063
P 0.8726 0.8238 4.2991
Ru 4.6657 2.7083 4.3691
Ru 2.9431 4.0529 0.6223
Ru 0.4068 1.2434 2.1363
Ru 2.1295 -0.1011 5.8832
```

## Properties
Energy relative to the elements   -0.1753 eV per atom



[14]
Here is a relaxed In2PRu2 crystal from Alexandria via LeMat-Bulk. Energies are from PBE.

Cell and atoms, written as extended XYZ:
```
10
Lattice="-4.9250 0.2408 3.7852 3.1817 -3.1145 4.3380 1.4831 3.8608 1.6841" Properties=species:S:1:pos:R:3 pbc="T T T"
Ru 1.0056 -2.5220 4.8959
Ru -2.0023 -1.8677 6.0450
Ru -2.7489 -0.3517 3.2272
Ru 0.2590 -1.0060 2.0782
P 0.0000 0.0000 0.0000
P -0.8717 -1.4369 4.0616
In 2.0519 -0.0892 4.3180
In 0.1564 -0.5239 6.9837
In -2.3121 1.0763 5.4892
In -0.4166 1.5109 2.8236
```

## Properties
Energy relative to the elements   -0.0858 eV per atom



[15]
Here is a relaxed InP2Ru crystal from Alexandria via LeMat-Bulk. Energies are from PBE.

Cell and atoms, written as extended XYZ:
```
4
Lattice="5.0630 -0.0149 -0.0043 1.6693 4.7799 0.0043 -2.6554 -3.3867 2.6671" Properties=species:S:1:pos:R:3 pbc="T T T"
In 1.1405 1.8528 1.3357
P 6.5365 4.6265 0.0000
P 2.8955 -0.5034 1.3314
Ru 3.6028 2.5500 0.0000
```

## Properties
Energy relative to the elements   0.2966 eV per atom



[16]
Here is a relaxed InPRu crystal from Alexandria via LeMat-Bulk. Energies are from PBE.

Cell and atoms, written as extended XYZ:
```
3
Lattice="-1.4826 1.4826 5.9039 1.4826 -1.4826 5.9039 1.4826 1.4826 -5.9039" Properties=species:S:1:pos:R:3 pbc="T T T"
In 0.0000 0.0000 11.6587
P 0.0000 0.0000 8.3321
Ru 0.0000 0.0000 3.6246
```

## Properties
Energy relative to the elements   -0.1505 eV per atom



[17]
Here is a relaxed InP2Ru crystal from Alexandria via LeMat-Bulk. Energies are from PBE.

Cell and atoms, written as extended XYZ:
```
4
Lattice="3.0103 0.0137 0.0000 -0.0137 3.0103 0.0000 0.0000 0.0000 7.2999" Properties=species:S:1:pos:R:3 pbc="T T T"
In 1.4983 1.5120 5.2860
P 0.0000 0.0000 0.5765
P 1.4983 1.5120 1.9318
Ru 0.0000 0.0000 3.1554
```

## Properties
Energy relative to the elements   0.1109 eV per atom



[18]
Here is a relaxed InP2Ru crystal from Alexandria via LeMat-Bulk. Energies are from PBE.

Cell and atoms, written as extended XYZ:
```
4
Lattice="4.3831 0.0078 0.0144 3.3225 2.8587 0.0144 1.3822 0.5142 6.0189" Properties=species:S:1:pos:R:3 pbc="T T T"
In 1.6249 0.6045 1.4703
P 8.6169 3.2056 5.7610
P 7.3309 2.7272 4.0184
Ru 5.1470 1.9147 3.8692
```

## Properties
Energy relative to the elements   -0.1124 eV per atom



[19]
Here is a relaxed InPRu2 crystal from Alexandria via LeMat-Bulk. Energies are from PBE.

Cell and atoms, written as extended XYZ:
```
4
Lattice="7.8054 -1.5194 -0.0418 7.8054 1.5194 -0.0418 7.5237 0.0000 2.5747" Properties=species:S:1:pos:R:3 pbc="T T T"
In 11.5672 0.0000 1.2456
P 0.0000 0.0000 0.0000
Ru 17.0157 0.0000 1.8323
Ru 6.1187 0.0000 0.6589
```

## Properties
Energy relative to the elements   -0.1298 eV per atom



[20]
Here is a relaxed In2PRu crystal from Alexandria via LeMat-Bulk. Energies are from PBE.

Cell and atoms, written as extended XYZ:
```
4
Lattice="8.5374 -1.6551 0.0021 8.5374 1.6551 0.0021 8.2158 0.0000 2.8508" Properties=species:S:1:pos:R:3 pbc="T T T"
In 24.9659 0.0000 2.8184
In 19.1421 0.0000 2.1610
P 13.1369 0.0000 1.4830
Ru 5.9812 0.0000 0.6752
```

## Properties
Energy relative to the elements   -0.0663 eV per atom